# LiReP2 | the Alexandria database | PBE-GGA | relaxed
data_LiReP2
_chemical_formula_sum 'Li4 Re4 P8'
_cell_length_a 5.918
_cell_length_b 5.918
_cell_length_c 5.918
_cell_angle_alpha 90.00
_cell_angle_beta 90.00
_cell_angle_gamma 90.00
_symmetry_space_group_name_H-M 'F m -3 m'
_symmetry_Int_Tables_number 225
_symmetry_space_group_name_Hall '-F 4 2 3'
loop_
_atom_site_label
_atom_site_type_symbol
_atom_site_fract_x
_atom_site_fract_y
_atom_site_fract_z
Li1 Li 0.000 0.000 0.000
Re1 Re 0.000 0.000 0.500
P1 P 0.250 0.250 0.250
# Offset from the most stable computed form ... 4.15 kcal/mol of atoms
# Density of states at the Fermi level ... 0.602 states/eV/atom
# ΔE_f ... -0.14 eV/atom